TlCd2Pd8 | Alexandria via LeMat-Bulk | GGA-PBE | optimized geometry; mass density = 11.6 g/cm³; E above lowest polymorph = 0 meV per atom; formation enthalpy at 0 K = -23.9 kJ/mol of atoms; final energy = -4.406 eV/atom; space group = C2/m (12); magnetic moment = 0.00 μB per formula unit; density of states at the Fermi level = 5.41 states/eV/f.u.
1.0
-1.6312 -3.6253 1.1295
2.0063 -2.5924 -5.4232
6.2685 0.8157 4.1104
Pd Cd Tl
8 2 1
direct
0.0419 0.7226 0.0839
0.9581 0.2774 0.9161
0.3197 0.0904 0.6395
0.6803 0.9096 0.3605
0.4082 0.5410 0.8163
0.1397 0.1844 0.2794
0.5918 0.4590 0.1837
0.8603 0.8156 0.7206
0.2242 0.6467 0.4484
0.7758 0.3533 0.5516
0.5000 0.0000 0.0000